Here is a relaxed BaSiPt2 crystal from the Alexandria database. Energies are from PBE.

POSCAR file:
```
BaSiPt2
1.0
4.203 -0.009 0.049
2.110 3.635 0.049
2.026 1.164 6.205
Ba Si Pt
1 1 2
direct
0.757 0.757 0.730
0.574 0.574 0.278
0.217 0.217 0.350
0.952 0.952 0.143
```

Results
Total magnetic moment   0.00 μB per cell
Raw formation energy   -0.724 eV per atom
Theoretical density   9.77 g cm⁻³
SG   No. 160

---

Here is a relaxed GaCo2Ni2 crystal from the Alexandria database. Energies are from PBE.

POSCAR file:
```
GaCo2Ni2
1.0
-1.795 -1.895 -2.018
2.763 -1.083 -1.441
0.774 -5.826 2.087
Co Ni Ga
2 2 1
direct
0.599 0.599 0.803
0.401 0.401 0.197
0.750 0.250 0.500
0.250 0.750 0.500
0.000 0.000 0.000
```

Results
Total magnetic moment   3.61 μB per cell
Theoretical density   8.05 g cm⁻³
Formation energy   0.2285 eV per atom
SG   No. 139